No. 1
Re2AgHgO8: optimized geometry, PBE.

Cell lengths 6.8312, 6.8312, 6.5720 Å; angles 113.00, 113.00, 54.29 degrees
Last column: nearest neighbours and their distance in Å.
Sites, in units of the cell vectors:
Re: 0.1981 0.1981 0.1658  4 O 1.74-1.77
Re: 0.8019 0.8019 0.8342  4 O 1.74-1.77
Ag: 0.5000 0.5000 0.0000  4 O 2.35
Hg: 0.0000 0.0000 0.5000  2 O 2.43
O: 0.0970 0.6418 0.7756  1 Re 1.76
O: 0.1695 0.1695 0.8768  1 Re 1.77
O: 0.3558 0.3558 0.3314  1 Re 1.74
O: 0.3582 0.9030 0.2244  1 Re 1.76
O: 0.6418 0.0970 0.7756  1 Re 1.76
O: 0.6442 0.6442 0.6686  1 Re 1.74
O: 0.8305 0.8305 0.1232  1 Re 1.77
O: 0.9030 0.3582 0.2244  1 Re 1.76

Calculated values
* space-group type: No. 12
* electronic total energy: -0.250 Ha/atom

---

No. 2
SmDy2Al9: optimized geometry, PBE.

Cell lengths 9.3387, 9.3387, 9.3387 Å; angles 34.83, 34.83, 34.83 degrees
Last column: nearest neighbours and their distance in Å.
Sites, in units of the cell vectors:
Sm: 0.0000 0.0000 0.0000  18 Al 3.23-3.56
Dy: 0.1420 0.1420 0.1420  12 Al 3.19-3.29, 3 Dy 3.48
Dy: 0.8580 0.8580 0.8580  12 Al 3.19-3.29, 3 Dy 3.48
Al: 0.0761 0.5875 0.5875  7 Al 2.70-2.86
Al: 0.3355 0.3355 0.3355  6 Al 2.70-2.75
Al: 0.4125 0.4125 0.9239  7 Al 2.70-2.86
Al: 0.4125 0.9239 0.4125  7 Al 2.70-2.86
Al: 0.5000 0.5000 0.5000  6 Al 2.74
Al: 0.5875 0.0761 0.5875  7 Al 2.70-2.86
Al: 0.5875 0.5875 0.0761  7 Al 2.70-2.86
Al: 0.6645 0.6645 0.6645  6 Al 2.70-2.75
Al: 0.9239 0.4125 0.4125  7 Al 2.70-2.86

Calculated values
* space-group type: No. 166
* relative energy among the computed polymorphs: 31 meV/atom
* formation energy from the elements: -0.38 eV per atom
* electronic total energy: -0.160 Ha/atom

---

no.,calculated density (g/cm3)
1,6.00
2,5.03